First-principles (PBE) data for a relaxed Cu3Ag2 crystal, as listed in OQMD.

```
10
Lattice="2.761 0.000 0.000 0.000 3.733 0.000 0.000 0.000 13.819" Properties=species:S:1:pos:R:3 pbc="T T T"
Cu 1.380 1.866 11.970
Cu 0.000 0.000 1.850
Cu 1.380 1.866 9.147
Cu 0.000 0.000 13.215
Cu 0.000 0.000 4.672
Cu 1.380 1.866 0.604
Ag 0.000 0.000 10.560
Ag 1.380 1.866 3.259
Ag 1.380 1.866 6.088
Ag 0.000 0.000 7.731
```

Values from the calculation:
Space-group type: No. 59
Energy above the lowest structure with this stoichiometry: 0.24 eV/f.u.
Formation energy: 0.0892 eV per atom